#a
## GdNpRu2 (PBE)

Data for a geometry-optimized GdNpRu2 structure.

Computed properties:
Calculated density (g/cm³): 12.23
Size of the total moment (μB/atom): 2.359
Space group: R-3m
D(E_F) (states/eV/cell): 6.13
Calculated volume (A^3/atom): 20.2

a = 5.087 Å, b = 5.087 Å, c = 4.657 Å
α = 56.90°, β = 56.90°, γ = 60.00°
Each line ends with the local moment (μB).
Positions (direct):
1 Np 0.500 0.500 0.500  2.88
2 Ru 0.722 0.722 0.834  -0.38
3 Ru 0.278 0.278 0.166  -0.38
4 Gd 0.000 0.000 0.000  7.05



#b
## GdNpRu2 (PBE)

Data for a geometry-optimized GdNpRu2 structure.

Computed properties:
Calculated density (g/cm³): 12.56
Size of the total moment (μB/atom): 2.394
Space group: P4/mmm
D(E_F) (states/eV/cell): 4.72
Calculated volume (A^3/atom): 19.7

a = 3.317 Å, b = 3.317 Å, c = 7.166 Å
α = 90.00°, β = 90.00°, γ = 90.00°
Each line ends with the local moment (μB).
Positions (direct):
1 Np 0.500 0.500 0.000  3.05
2 Ru 0.000 0.000 0.783  -0.43
3 Ru 0.000 0.000 0.217  -0.43
4 Gd 0.500 0.500 0.500  7.10



Winner for stability: #b



#a
## GdNpSb2 (PBE)

Data for a geometry-optimized GdNpSb2 structure.

Computed properties:
Calculated density (g/cm³): 9.72
Size of the total moment (μB/atom): 0.692
Space group: Fm-3m
D(E_F) (states/eV/cell): 13.25
Calculated volume (A^3/atom): 27.2

a = 5.361 Å, b = 5.361 Å, c = 5.361 Å
α = 60.00°, β = 60.00°, γ = 60.00°
Each line ends with the local moment (μB).
Positions (direct):
1 Np 0.000 0.000 0.000  -4.02
2 Sb 0.250 0.250 0.250  0.06
3 Sb 0.750 0.750 0.750  0.06
4 Gd 0.500 0.500 0.500  6.88



#b
## GdNpSb2 (PBE)

Data for a geometry-optimized GdNpSb2 structure.

Computed properties:
Calculated density (g/cm³): 9.83
Size of the total moment (μB/atom): 2.932
Space group: P4/mmm
D(E_F) (states/eV/cell): 10.91
Calculated volume (A^3/atom): 26.9

a = 3.958 Å, b = 3.958 Å, c = 6.875 Å
α = 90.00°, β = 90.00°, γ = 90.00°
Each line ends with the local moment (μB).
Positions (direct):
1 Np 0.500 0.500 0.000  4.13
2 Sb 0.000 0.000 0.754  -0.08
3 Sb 0.000 0.000 0.246  -0.08
4 Gd 0.500 0.500 0.500  7.15



Winner for stability: #b



#a
## Pr2GdO (PBE)

Data for a geometry-optimized Pr2GdO structure.

Computed properties:
Calculated density (g/cm³): 6.86
Size of the total moment (μB/atom): 1.879
Space group: R-3m
D(E_F) (states/eV/cell): 5.99
Calculated volume (A^3/atom): 27.5

a = 3.666 Å, b = 3.666 Å, c = 9.700 Å
α = 79.11°, β = 79.11°, γ = 60.00°
Each line ends with the local moment (μB).
Positions (direct):
1 Pr 0.118 0.118 0.646  -0.02
2 Pr 0.882 0.882 0.354  -0.02
3 Gd 0.000 0.000 0.000  7.26
4 O 0.500 0.500 0.500  -0.01



#b
## Pr2GdO (PBE)

Data for a geometry-optimized Pr2GdO structure.

Computed properties:
Calculated density (g/cm³): 7.57
Size of the total moment (μB/atom): 1.929
Space group: P4/mmm
D(E_F) (states/eV/cell): 5.37
Calculated volume (A^3/atom): 24.9

a = 3.269 Å, b = 3.269 Å, c = 9.337 Å
α = 90.00°, β = 90.00°, γ = 90.00°
Each line ends with the local moment (μB).
Positions (direct):
1 Pr 0.000 0.000 0.831  0.00
2 Pr 0.000 0.000 0.169  0.00
3 Gd 0.500 0.500 0.500  7.30
4 O 0.500 0.500 0.000  0.03



Winner for stability: #a



#a
## Gd2PuO (PBE)

Data for a geometry-optimized Gd2PuO structure.

Computed properties:
Calculated density (g/cm³): 10.97
Size of the total moment (μB/atom): 5.298
Space group: P4/mmm
D(E_F) (states/eV/cell): 8.57
Calculated volume (A^3/atom): 21.7

a = 3.139 Å, b = 3.139 Å, c = 8.827 Å
α = 90.00°, β = 90.00°, γ = 90.00°
Each line ends with the local moment (μB).
Positions (direct):
1 Gd 0.000 0.000 0.824  7.33
2 Gd 0.000 0.000 0.176  7.33
3 O 0.500 0.500 0.000  0.02
4 Pu 0.500 0.500 0.500  5.56



#b
## Gd2PuO (PBE)

Data for a geometry-optimized Gd2PuO structure.

Computed properties:
Calculated density (g/cm³): 10.21
Size of the total moment (μB/atom): 5.190
Space group: R-3m
D(E_F) (states/eV/cell): 9.34
Calculated volume (A^3/atom): 23.4

a = 3.496 Å, b = 3.496 Å, c = 9.061 Å
α = 78.88°, β = 78.88°, γ = 60.00°
Each line ends with the local moment (μB).
Positions (direct):
1 Gd 0.279 0.279 0.163  7.09
2 Gd 0.721 0.721 0.837  7.09
3 O 0.000 0.000 0.000  -0.01
4 Pu 0.500 0.500 0.500  5.60



Winner for stability: #b



#a
## Gd2Se2O (PBE)

Data for a geometry-optimized Gd2Se2O structure.

Computed properties:
Calculated density (g/cm³): 5.44
Size of the total moment (μB/atom): 0.001
Space group: Pnma
Calculated volume (A^3/atom): 29.8

a = 3.750 Å, b = 21.597 Å, c = 7.367 Å
α = 90.00°, β = 90.00°, γ = 90.00°
Each line ends with the local moment (μB).
Positions (direct):
1 Gd 0.250 0.162 0.251  6.91
2 Gd 0.750 0.529 0.750  -6.95
3 Gd 0.250 0.029 0.750  -6.95
4 Gd 0.250 0.471 0.250  -6.95
5 Gd 0.250 0.338 0.751  6.91
6 Gd 0.750 0.971 0.250  -6.95
7 Gd 0.750 0.838 0.749  6.91
8 Gd 0.750 0.662 0.249  6.91
9 Se 0.750 0.422 0.994  0.01
10 Se 0.750 0.422 0.506  0.01
11 Se 0.250 0.578 0.006  0.01
12 Se 0.750 0.078 0.006  0.01
13 Se 0.250 0.922 0.506  0.01
14 Se 0.250 0.922 0.994  0.01
15 Se 0.750 0.078 0.494  0.01
16 Se 0.250 0.578 0.494  0.01
17 O 0.250 0.792 0.749  0.01
18 O 0.750 0.208 0.251  0.01
19 O 0.750 0.292 0.751  0.01
20 O 0.250 0.708 0.249  0.01



#b
## Gd2Se2O (PBE)

Data for a geometry-optimized Gd2Se2O structure.

Computed properties:
Calculated density (g/cm³): 7.05
Size of the total moment (μB/atom): 2.799
Space group: Pnma
Calculated volume (A^3/atom): 23.0

a = 3.976 Å, b = 7.101 Å, c = 16.304 Å
α = 90.00°, β = 90.00°, γ = 90.00°
Each line ends with the local moment (μB).
Positions (direct):
1 Gd 0.250 0.698 0.038  6.93
2 Gd 0.750 0.740 0.839  6.92
3 Gd 0.250 0.240 0.661  6.92
4 Gd 0.250 0.260 0.161  6.92
5 Gd 0.250 0.802 0.538  6.93
6 Gd 0.750 0.760 0.339  6.92
7 Gd 0.750 0.302 0.962  6.93
8 Gd 0.750 0.198 0.462  6.93
9 Se 0.750 0.552 0.180  -0.01
10 Se 0.750 0.489 0.599  -0.01
11 Se 0.250 0.448 0.820  -0.01
12 Se 0.750 0.011 0.099  -0.01
13 Se 0.250 0.052 0.320  -0.01
14 Se 0.250 0.989 0.901  -0.01
15 Se 0.750 0.948 0.680  -0.01
16 Se 0.250 0.511 0.401  -0.01
17 O 0.250 0.128 0.531  0.01
18 O 0.750 0.872 0.469  0.01
19 O 0.750 0.628 0.969  0.01
20 O 0.250 0.372 0.031  0.01



Winner for stability: #b



#a
## GdTa3O9 (PBE)

Data for a geometry-optimized GdTa3O9 structure.

Computed properties:
Calculated density (g/cm³): 8.89
Size of the total moment (μB/atom): 0.538
Space group: Pnma
D(E_F) (states/eV/cell): 0.00
Calculated volume (A^3/atom): 12.1

a = 6.504 Å, b = 7.675 Å, c = 12.634 Å
α = 90.00°, β = 90.00°, γ = 90.00°
Each line ends with the local moment (μB).
Positions (direct):
1 Gd 0.057 0.250 0.467  6.93
2 Gd 0.443 0.750 0.967  6.93
3 Gd 0.557 0.250 0.033  6.93
4 Gd 0.943 0.750 0.533  6.93
5 Ta 0.000 0.000 0.000  0.00
6 Ta 0.000 0.500 0.000  0.00
7 Ta 0.204 0.002 0.713  0.00
8 Ta 0.204 0.498 0.713  0.00
9 Ta 0.296 0.502 0.213  0.00
10 Ta 0.296 0.998 0.213  0.00
11 Ta 0.500 0.000 0.500  0.00
12 Ta 0.500 0.500 0.500  0.00
13 Ta 0.704 0.002 0.787  0.00
14 Ta 0.704 0.498 0.787  0.00
15 Ta 0.796 0.502 0.287  0.00
16 Ta 0.796 0.998 0.287  0.00
17 O 0.016 0.041 0.843  0.00
18 O 0.016 0.459 0.843  0.00
19 O 0.070 0.750 0.975  0.00
20 O 0.104 0.034 0.332  0.00
21 O 0.104 0.466 0.332  0.00
22 O 0.167 0.250 0.673  0.00
23 O 0.201 0.750 0.694  0.00
24 O 0.206 0.970 0.537  0.00
25 O 0.206 0.530 0.537  0.00
26 O 0.294 0.030 0.037  0.00
27 O 0.294 0.470 0.037  0.00
28 O 0.299 0.250 0.194  0.00
29 O 0.333 0.750 0.173  0.00
30 O 0.396 0.534 0.832  0.00
31 O 0.396 0.966 0.832  0.00
32 O 0.430 0.250 0.475  0.00
33 O 0.484 0.541 0.343  0.00
34 O 0.484 0.959 0.343  0.00
35 O 0.516 0.041 0.657  0.00
36 O 0.516 0.459 0.657  0.00
37 O 0.570 0.750 0.525  0.00
38 O 0.604 0.034 0.168  0.00
39 O 0.604 0.466 0.168  0.00
40 O 0.667 0.250 0.827  0.00
41 O 0.701 0.750 0.806  0.00
42 O 0.706 0.530 0.963  0.00
43 O 0.706 0.970 0.963  0.00
44 O 0.794 0.030 0.463  0.00
45 O 0.794 0.470 0.463  0.00
46 O 0.799 0.250 0.306  0.00
47 O 0.833 0.750 0.327  0.00
48 O 0.896 0.534 0.668  0.00
49 O 0.896 0.966 0.668  0.00
50 O 0.930 0.250 0.025  0.00
51 O 0.984 0.541 0.157  0.00
52 O 0.984 0.959 0.157  0.00



#b
## GdTa3O9 (PBE)

Data for a geometry-optimized GdTa3O9 structure.

Computed properties:
Calculated density (g/cm³): 8.33
Size of the total moment (μB/atom): 0.537
Space group: P2_1/m
D(E_F) (states/eV/cell): 0.00
Calculated volume (A^3/atom): 12.9

a = 7.556 Å, b = 5.360 Å, c = 8.316 Å
α = 87.55°, β = 90.00°, γ = 90.00°
Each line ends with the local moment (μB).
Positions (direct):
1 Gd 0.250 0.965 0.435  6.93
2 Gd 0.750 0.035 0.565  6.93
3 Ta 0.000 0.000 0.000  0.00
4 Ta 0.500 0.000 0.000  0.00
5 Ta 0.007 0.528 0.697  0.00
6 Ta 0.493 0.528 0.697  0.00
7 Ta 0.993 0.472 0.303  0.00
8 Ta 0.507 0.472 0.303  0.00
9 O 0.250 0.909 0.980  -0.01
10 O 0.939 0.848 0.786  0.00
11 O 0.561 0.848 0.786  0.00
12 O 0.959 0.739 0.468  0.00
13 O 0.541 0.739 0.468  0.00
14 O 0.250 0.657 0.657  0.00
15 O 0.949 0.678 0.122  0.00
16 O 0.551 0.678 0.122  0.00
17 O 0.250 0.571 0.314  0.00
18 O 0.750 0.429 0.686  0.00
19 O 0.051 0.322 0.878  0.00
20 O 0.449 0.322 0.878  0.00
21 O 0.750 0.343 0.343  0.00
22 O 0.041 0.261 0.532  0.00
23 O 0.459 0.261 0.532  0.00
24 O 0.061 0.152 0.214  0.00
25 O 0.439 0.152 0.214  0.00
26 O 0.750 0.091 0.020  -0.01



Winner for stability: #b



#a
## Gd2ThO (PBE)

Data for a geometry-optimized Gd2ThO structure.

Computed properties:
Calculated density (g/cm³): 9.79
Size of the total moment (μB/atom): 3.507
Space group: R-3m
D(E_F) (states/eV/cell): 3.08
Calculated volume (A^3/atom): 23.9

a = 3.547 Å, b = 3.547 Å, c = 8.991 Å
α = 78.62°, β = 78.62°, γ = 60.00°
Each line ends with the local moment (μB).
Positions (direct):
1 Gd 0.721 0.721 0.837  6.97
2 Gd 0.279 0.279 0.163  6.97
3 O 0.000 0.000 0.000  -0.03
4 Th 0.500 0.500 0.500  -0.06



#b
## Gd2ThO (PBE)

Data for a geometry-optimized Gd2ThO structure.

Computed properties:
Calculated density (g/cm³): 10.14
Size of the total moment (μB/atom): 3.752
Space group: P4/mmm
D(E_F) (states/eV/cell): 3.95
Calculated volume (A^3/atom): 23.0

a = 3.256 Å, b = 3.256 Å, c = 8.687 Å
α = 90.00°, β = 90.00°, γ = 90.00°
Each line ends with the local moment (μB).
Positions (direct):
1 Gd 0.000 0.000 0.824  7.30
2 Gd 0.000 0.000 0.176  7.30
3 O 0.500 0.500 0.000  -0.01
4 Th 0.500 0.500 0.500  -0.05



Winner for stability: #a